Below is an optimized crystal structure of ZrTl2Cd2, with properties calculated at the PBE-GGA level.

```
10
Lattice="8.2768 0.0000 0.0000 0.0000 8.2768 0.0000 0.0000 0.0000 3.5699" Properties=species:S:1:pos:R:3 pbc="T T T"
Tl 6.7971 2.6586 1.7849
Tl 5.6182 6.7971 1.7849
Tl 1.4798 5.6182 1.7849
Tl 2.6586 1.4798 1.7849
Zr 4.1384 4.1384 0.0000
Zr 0.0000 0.0000 0.0000
Cd 5.1653 1.0269 0.0000
Cd 1.0269 3.1115 0.0000
Cd 7.2500 5.1653 0.0000
Cd 3.1115 7.2500 0.0000
```

## Properties
Offset from the most stable computed form   0.000 eV per atom
DFT formation energy   220 meV per atom
Symmetry   P4/mbm (127)
Spin magnetization   0.00 μB/f.u.
Crystal system   tetragonal